The following is a GGA-PBE calculation of crystalline GdYAgAu at its relaxed geometry, from Alexandria via LeMat-Bulk.

Properties
M_tot: 28.6 μB per cell
DFT formation energy: -578 meV per atom
ρ: 9.507 Mg/m³
crystal system: cubic

Lattice parameters (Å, degrees): 7.2745 7.2745 7.2745 90.00 90.00 90.00
Last column: nearest neighbours and their distance in Å.
Space group F-43m (No. 216)
Symmetry-distinct sites (fractional):
Gd (0.0000, 0.0000, 0.0000) [4 per cell]  4 Au 3.15, 4 Ag 3.15
Y (0.0000, 0.0000, 0.5000) [4 per cell]  4 Ag 3.15, 4 Au 3.15
Ag (0.2500, 0.2500, 0.2500) [4 per cell]  4 Gd 3.15, 4 Y 3.15
Au (0.2500, 0.2500, 0.7500) [4 per cell]  4 Gd 3.15, 4 Y 3.15